1.
# YBiSeF2 (PBE, relaxed)
data_YBiSeF2
_space_group_name_H-M_alt 'P 1'
_space_group_IT_number 1
_space_group_name_Hall 'P 1'
_cell_length_a 4.350
_cell_length_b 4.350
_cell_length_c 6.061
_cell_angle_alpha 90.00
_cell_angle_beta 90.00
_cell_angle_gamma 90.00
loop_
_atom_site_label
_atom_site_type_symbol
_atom_site_fract_x
_atom_site_fract_y
_atom_site_fract_z
_atom_site_occupancy
Y1 Y 0.000 0.000 0.000 1
Bi1 Bi 0.500 0.500 0.500 1
Se1 Se 0.000 0.000 0.500 1
F1 F 0.000 0.500 0.000 1
F2 F 0.500 0.000 0.000 1
# - magnetization (μB per formula unit) = 0.00
# - formation energy from raw total energies (eV per atom) = -2.295
# - E_tot (eV/atom) = -5.81
# - space-group type = P4/mmm, No. 123

***

2.
# Si2BiF (PBE, relaxed)
data_Si2BiF
_space_group_name_H-M_alt 'P 1'
_space_group_IT_number 1
_space_group_name_Hall 'P 1'
_cell_length_a 4.790
_cell_length_b 4.790
_cell_length_c 4.790
_cell_angle_alpha 60.00
_cell_angle_beta 60.00
_cell_angle_gamma 60.00
loop_
_atom_site_label
_atom_site_type_symbol
_atom_site_fract_x
_atom_site_fract_y
_atom_site_fract_z
_atom_site_occupancy
Si1 Si 0.250 0.250 0.250 1
Si2 Si 0.750 0.750 0.750 1
Bi1 Bi 0.500 0.500 0.500 1
F1 F 0.000 0.000 0.000 1
# - magnetization (μB per formula unit) = 0.00
# - formation energy from raw total energies (eV per atom) = 0.043
# - E_tot (eV/atom) = -4.11
# - energy relative to the lowest polymorph listed for this composition (eV/atom) = 0.176
# - space-group type = Fm-3m, No. 225